(1)
A relaxed Cs2CrF6 crystal. Source: the Alexandria database, functional GGA+U.

Calculated values
Raw total energy in eV per atom: -4.978

abc: 6.3618 6.3618 10.3677
angles: 90.00 90.00 120.00
Last column: nearest neighbours and their distance in Å.
Space group P6_3mc (No. 186)
Unique sites:
Cs (0.0000, 0.0000, 0.0000) (multiplicity 2)  12 F 3.25-3.44
Cs (0.3333, 0.6667, 0.2758) (multiplicity 2)  12 F 3.16-3.25
Cr (0.3333, 0.6667, 0.6601) (multiplicity 2)  6 F 1.87
F (0.0593, 0.5297, 0.5537) (multiplicity 6)  1 Cr 1.87
F (0.1927, 0.3854, 0.7605) (multiplicity 6)  1 Cr 1.87



(2)
A relaxed CsCr3F9 crystal. Source: the Alexandria database, functional GGA+U.

Calculated values
Raw total energy in eV per atom: -5.853

abc: 7.5778 7.5778 4.0155
angles: 90.00 90.00 120.00
Last column: nearest neighbours and their distance in Å.
Space group P6/mmm (No. 191)
Unique sites:
Cs (0.0000, 0.0000, 0.0000) (multiplicity 1)  12 F 3.35
Cr (0.0000, 0.5000, 0.5000) (multiplicity 3)  6 F 1.99-2.01
F (0.0000, 0.5000, 0.0000) (multiplicity 3)  2 Cr 2.01
F (0.2040, 0.4081, 0.5000) (multiplicity 6)  2 Cr 1.99



(3)
A relaxed CsCrF4 crystal. Source: the Alexandria database, functional GGA+U.

Calculated values
Raw total energy in eV per atom: -5.468

abc: 9.8078 9.8078 3.9635
angles: 90.00 90.00 120.00
Last column: nearest neighbours and their distance in Å.
Space group P-62m (No. 189)
Unique sites:
Cs (0.0000, 0.5705, 0.0000) (multiplicity 3)  11 F 3.18-3.44
Cr (0.0000, 0.2247, 0.5000) (multiplicity 3)  6 F 1.89-1.99
F (0.0000, 0.2201, 0.0000) (multiplicity 3)  2 Cr 1.98
F (0.0000, 0.8315, 0.5000) (multiplicity 3)  2 Cr 1.99
F (0.1607, 0.4388, 0.5000) (multiplicity 6)  1 Cr 1.89



(4)
A relaxed CsCrF5 crystal. Source: the Alexandria database, functional GGA+U.

Calculated values
Raw total energy in eV per atom: -5.114

abc: 8.2338 8.1920 7.6867
angles: 90.00 92.45 90.00
Last column: nearest neighbours and their distance in Å.
Space group C2/c (No. 15)
Unique sites:
Cs (0.0000, 0.0410, 0.2500) (multiplicity 4)  9 F 3.06-3.28
Cr (0.0000, 0.5000, 0.0000) (multiplicity 4)  6 F 1.82-1.98
F (0.0000, 0.4413, 0.2500) (multiplicity 4)  2 Cr 1.98
F (0.0497, 0.2880, 0.5517) (multiplicity 8)  1 Cr 1.82
F (0.2164, 0.4518, 0.9980) (multiplicity 8)  1 Cr 1.83



(5)
A relaxed Cs2CrF6 crystal. Source: the Alexandria database, functional GGA+U.

Calculated values
Raw total energy in eV per atom: -4.922

abc: 9.1297 9.1297 9.1297
angles: 90.00 90.00 90.00
Last column: nearest neighbours and their distance in Å.
Space group Fm-3m (No. 225)
Unique sites:
Cs (0.2500, 0.2500, 0.2500) (multiplicity 8)  12 F 3.25
Cr (0.0000, 0.0000, 0.0000) (multiplicity 4)  6 F 1.87
F (0.0000, 0.0000, 0.2051) (multiplicity 24)  1 Cr 1.87



(6)
A relaxed Cs3Cr5F12 crystal. Source: the Alexandria database, functional GGA+U.

Calculated values
Raw total energy in eV per atom: -5.490

abc: 14.3833 14.3833 14.3833
angles: 90.00 90.00 90.00
Last column: nearest neighbours and their distance in Å.
Space group Ia-3d (No. 230)
Unique sites:
Cs (0.0000, 0.2500, 0.1250) (multiplicity 24)  8 F 2.92-3.09
Cr (0.0000, 0.0000, 0.0000) (multiplicity 16)  6 F 2.02
Cr (0.0000, 0.2500, 0.3750) (multiplicity 24)  4 F 2.22
F (0.0350, 0.0384, 0.6305) (multiplicity 96)  2 Cr 2.02-2.22